A relaxed structure of LaNdBr4, computed with GGA-PBE.

Formation energy from raw total energies = -1.700 eV per atom
Raw total energy = -26.59 eV per cell
DOS at the Fermi energy = 3.6 states/eV per cell
Energy relative to the lowest polymorph listed for this composition = 0.0 meV per atom

```
data_LaNdBr4
_chemical_formula_sum 'La1 Nd1 Br4'
_cell_length_a 7.033
_cell_length_b 4.066
_cell_length_c 7.958
_cell_angle_alpha 90.00
_cell_angle_beta 106.98
_cell_angle_gamma 90.00
_space_group_name_H-M_alt 'P 1 2/m 1'
_space_group_IT_number 10
loop_
_space_group_symop_operation_xyz
'x,y,z'
'-x,-y,-z'
'-x,y,-z'
'x,-y,z'
loop_
_atom_site_label
_atom_site_fract_x
_atom_site_fract_y
_atom_site_fract_z
La1 0.000 0.000 0.000
Nd1 0.500 0.500 0.000
Br1 0.255 0.500 0.251
Br2 0.257 0.000 0.753
```

***

A relaxed structure of LaNdBr3, computed with GGA-PBE.

Formation energy from raw total energies = -1.515 eV per atom
Raw total energy = -178.33 eV per cell
DOS at the Fermi energy = 19.4 states/eV per cell
Energy relative to the lowest polymorph listed for this composition = 2.7 meV per atom

```
data_LaNdBr3
_chemical_formula_sum 'La8 Nd8 Br24'
_cell_length_a 13.694
_cell_length_b 12.929
_cell_length_c 7.193
_cell_angle_alpha 90.00
_cell_angle_beta 97.13
_cell_angle_gamma 90.00
_space_group_name_H-M_alt 'C 1 2/c 1'
_space_group_IT_number 15
loop_
_space_group_symop_operation_xyz
'x,y,z'
'-x,-y,-z'
'-x,y,-z+1/2'
'x,-y,z+1/2'
'x+1/2,y+1/2,z'
'-x+1/2,-y+1/2,-z'
'-x+1/2,y+1/2,-z+1/2'
'x+1/2,-y+1/2,z+1/2'
loop_
_atom_site_label
_atom_site_fract_x
_atom_site_fract_y
_atom_site_fract_z
La1 0.000 0.063 0.250
La2 0.000 0.249 0.750
Nd1 0.232 0.078 0.995
Br1 0.124 0.261 0.140
Br2 0.131 0.422 0.640
Br3 0.141 0.111 0.603
```

***

A relaxed structure of LaNd2BrO4, computed with GGA-PBE.

Formation energy from raw total energies = -3.136 eV per atom
Raw total energy = -61.06 eV per cell
DOS at the Fermi energy = 0.0 states/eV per cell

```
data_LaNd2BrO4
_chemical_formula_sum 'La1 Nd2 Br1 O4'
_cell_length_a 4.085
_cell_length_b 4.085
_cell_length_c 9.558
_cell_angle_alpha 90.00
_cell_angle_beta 90.00
_cell_angle_gamma 90.00
_space_group_name_H-M_alt 'P 4/m m m'
_space_group_IT_number 123
_space_group_name_Hall '-P 4 2'
loop_
_atom_site_label
_atom_site_fract_x
_atom_site_fract_y
_atom_site_fract_z
La1 0.000 0.000 0.000
Nd1 0.500 0.500 0.261
Br1 0.000 0.000 0.500
O1 0.000 0.500 0.156
```